## Sm2CoPbO6 (PBE+U)

Data for a relaxed Sm2CoPbO6 crystal.

It has space group P2_1/c (No. 14), with a = 5.531 Å, b = 5.914 Å, c = 9.713 Å, α = 90.00°, β = 123.89° and γ = 90.00°. Symmetry generates all atoms from Sm at (0.227, 0.069, 0.251), Co at (0.000, 0.000, 0.500), Pb at (0.500, 0.000, 0.000), O at (0.096, 0.215, 0.928), O at (0.230, 0.676, 0.941) and O at (0.354, 0.055, 0.726).

The value obtained for the total DFT energy (no corrections) is -0.5057 Ry/atom. The magnetization comes out at 0.9 μB per formula unit. The theoretical density comes out at 8.3 Mg/m³.